# Pm2BePtO6 (PBE, optimized geometry)
data_Pm2BePtO6
_cell_length_a 5.3937
_cell_length_b 5.5939
_cell_length_c 9.2467
_cell_angle_alpha 90.00
_cell_angle_beta 125.38
_cell_angle_gamma 90.00
_symmetry_space_group_name_H-M 'P 1'
_symmetry_Int_Tables_number 1
_symmetry_space_group_name_Hall 'P 1'
loop_
_atom_site_label
_atom_site_fract_x
_atom_site_fract_y
_atom_site_fract_z
_atom_site_occupancy
Pm1 0.2377 0.0613 0.2506 1
Pm2 0.2377 0.4387 0.7506 1
Pm3 0.7623 0.5613 0.2494 1
Pm4 0.7623 0.9387 0.7494 1
Be1 0.5000 0.0000 0.0000 1
Be2 0.5000 0.5000 0.5000 1
Pt1 0.0000 0.0000 0.5000 1
Pt2 0.0000 0.5000 0.0000 1
O1 0.1655 0.1977 0.9557 1
O2 0.1655 0.3023 0.4557 1
O3 0.2574 0.7136 0.9525 1
O4 0.2574 0.7864 0.4525 1
O5 0.3516 0.0202 0.7649 1
O6 0.3516 0.4798 0.2649 1
O7 0.6484 0.5202 0.7351 1
O8 0.6484 0.9798 0.2351 1
O9 0.7426 0.2136 0.5474 1
O10 0.7426 0.2864 0.0475 1
O11 0.8345 0.6977 0.5443 1
O12 0.8345 0.8023 0.0443 1
# Spin magnetization, μB per formula unit: 0.00
# Symmetry: No. 14
# N(E_F), states/eV per atom: 0.000
# Raw formation energy, kJ/mol of atoms: -222
# Volume, Å³/atom: 11.37